# YCuW2 | Alexandria via LeMat-Bulk | GGA-PBE | optimized geometry
data_YCuW2
_cell_length_a 4.637
_cell_length_b 4.637
_cell_length_c 6.546
_cell_angle_alpha 90.00
_cell_angle_beta 90.00
_cell_angle_gamma 90.00
_symmetry_space_group_name_H-M 'I -4 m 2'
_symmetry_Int_Tables_number 119
_symmetry_space_group_name_Hall 'I -4 -2'
loop_
_atom_site_label
_atom_site_fract_x
_atom_site_fract_y
_atom_site_fract_z
_atom_site_occupancy
Y1 0.000 0.000 0.000 1
Cu1 0.000 0.500 0.750 1
W1 0.000 0.000 0.500 1
W2 0.000 0.500 0.250 1
# energy = -8.69 eV/atom
# energy of formation from the pure elements = 0.43 eV/atom